A relaxed KGeS3 crystal, computed with PBE.

The space group is C2/c (No. 15) and the conventional cell measures 10.739, 13.718 and 10.490 Å, with angles of 90.00, 111.71 and 90.00 degrees. The inequivalent atoms are K at (0.000, 0.062, 0.250), K at (0.000, 0.332, 0.750), Ge at (0.239, 0.408, 0.293), S at (0.064, 0.137, 0.589), S at (0.087, 0.311, 0.336) and S at (0.175, 0.481, 0.647).

The uncorrected formation energy is -0.50 eV/atom. The density of states at the Fermi level is 0.00 states/eV per cell. The total energy comes out at -4.12 eV per atom.